Compound: Th3Zn4Sn2
Source: the Alexandria database
Functional: PBE
Structure: relaxed

Cell and atoms, written as POSCAR:
```
Th3Zn4Sn2
1.0
4.6286 0.0000 0.0000
-2.3143 5.3277 -1.6959
0.0000 -0.4325 8.8254
Th Sn Zn
3 2 4
Direct
0.0000 0.0000 0.0000
0.3319 0.6639 0.3313
0.6681 0.3361 0.6687
0.6139 0.2277 0.2793
0.3861 0.7723 0.7207
0.9748 0.9495 0.6290
0.0252 0.0505 0.3710
0.7447 0.4894 0.0635
0.2553 0.5106 0.9365
```

Results
Energy of formation: -0.418 eV/atom
Volume: 23.80 Å³/atom
Size of the total moment: 0.000 μB per atom
Total DFT energy (no corrections): -39.122 eV/cell